No. 1
A relaxed structure of Ca2PuNpN4. Source: Alexandria via LeMat-Bulk, functional PBE.

- space group = P2/m (10)

Cell: 6.018 3.499 6.054 Å, 90.00 109.52 90.00°
Sites, in units of the cell vectors:
1 Ca 0.000 0.000 0.000
2 Ca 0.000 0.500 0.500
3 Pu 0.500 0.000 0.500
4 Np 0.500 0.500 0.000
5 N 0.286 0.000 0.769
6 N 0.289 0.500 0.253
7 N 0.711 0.500 0.747
8 N 0.714 0.000 0.231



No. 2
A relaxed structure of Ca3PuNp2N6. Source: Alexandria via LeMat-Bulk, functional PBE.

- space group = C2/m (12)

Cell: 7.786 7.786 6.971 Å, 102.68 102.68 25.95°
Sites, in units of the cell vectors:
1 Ca 0.000 0.000 0.000
2 Ca 0.334 0.334 0.666
3 Ca 0.666 0.666 0.334
4 Pu 0.000 0.000 0.500
5 Np 0.334 0.334 0.168
6 Np 0.666 0.666 0.832
7 N 0.162 0.162 0.609
8 N 0.175 0.175 0.062
9 N 0.488 0.488 0.263
10 N 0.512 0.512 0.737
11 N 0.825 0.825 0.938
12 N 0.838 0.838 0.391



| no. | ΔE_f (raw) (eV/atom) |
| --- | --- |
| 1 | -1.20 |
| 2 | -1.19 |